Arrangement one

# PBEsol As2IrOs, relaxed
data_As2IrOs
_space_group_name_H-M_alt 'P 1'
_space_group_IT_number 1
_cell_length_a 3.129
_cell_length_b 3.129
_cell_length_c 5.991
_cell_angle_alpha 90.00
_cell_angle_beta 90.00
_cell_angle_gamma 90.00
loop_
_space_group_symop_operation_xyz
'x,y,z'
loop_
_atom_site_label
_atom_site_type_symbol
_atom_site_fract_x
_atom_site_fract_y
_atom_site_fract_z
As1 As 0.000 0.000 0.250
As2 As 0.000 0.000 0.750
Ir1 Ir 0.500 0.500 0.000
Os1 Os 0.500 0.500 0.500
# **Total moment**: 0.00 μB/cell
# **DOS(E_F)**: 3.66 states/eV/cell

=====

Arrangement two

# PBEsol As2IrOs, relaxed
data_As2IrOs
_space_group_name_H-M_alt 'P 1'
_space_group_IT_number 1
_cell_length_a 5.710
_cell_length_b 8.578
_cell_length_c 2.872
_cell_angle_alpha 90.00
_cell_angle_beta 119.83
_cell_angle_gamma 90.00
loop_
_space_group_symop_operation_xyz
'x,y,z'
loop_
_atom_site_label
_atom_site_type_symbol
_atom_site_fract_x
_atom_site_fract_y
_atom_site_fract_z
As1 As 0.250 0.250 0.000
As2 As 0.250 0.750 0.000
As3 As 0.750 0.250 0.000
As4 As 0.750 0.750 0.000
Ir1 Ir 0.000 0.000 0.000
Ir2 Ir 0.500 0.500 0.000
Os1 Os 0.000 0.500 0.000
Os2 Os 0.500 0.000 0.000
# **Total moment**: 0.00 μB/cell
# **DOS(E_F)**: 6.55 states/eV/cell

=====

Arrangement three

# PBEsol As2IrOs, relaxed
data_As2IrOs
_space_group_name_H-M_alt 'P 1'
_space_group_IT_number 1
_cell_length_a 6.269
_cell_length_b 6.269
_cell_length_c 6.269
_cell_angle_alpha 90.00
_cell_angle_beta 90.00
_cell_angle_gamma 90.00
loop_
_space_group_symop_operation_xyz
'x,y,z'
loop_
_atom_site_label
_atom_site_type_symbol
_atom_site_fract_x
_atom_site_fract_y
_atom_site_fract_z
As1 As 0.000 0.000 0.000
As2 As 0.000 0.500 0.500
As3 As 0.250 0.250 0.250
As4 As 0.250 0.750 0.750
As5 As 0.500 0.000 0.500
As6 As 0.500 0.500 0.000
As7 As 0.750 0.250 0.750
As8 As 0.750 0.750 0.250
Ir1 Ir 0.000 0.000 0.500
Ir2 Ir 0.000 0.500 0.000
Ir3 Ir 0.500 0.000 0.000
Ir4 Ir 0.500 0.500 0.500
Os1 Os 0.250 0.250 0.750
Os2 Os 0.250 0.750 0.250
Os3 Os 0.750 0.250 0.250
Os4 Os 0.750 0.750 0.750
# **Total moment**: 0.00 μB/cell
# **DOS(E_F)**: 11.14 states/eV/cell

=====

Arrangement four

# PBEsol As2IrOs, relaxed
data_As2IrOs
_space_group_name_H-M_alt 'P 1'
_space_group_IT_number 1
_cell_length_a 8.377
_cell_length_b 3.277
_cell_length_c 4.629
_cell_angle_alpha 90.00
_cell_angle_beta 105.02
_cell_angle_gamma 90.00
loop_
_space_group_symop_operation_xyz
'x,y,z'
loop_
_atom_site_label
_atom_site_type_symbol
_atom_site_fract_x
_atom_site_fract_y
_atom_site_fract_z
As1 As 0.000 0.000 0.000
As2 As 0.233 0.000 0.594
As3 As 0.500 0.500 0.000
As4 As 0.733 0.500 0.594
Ir1 Ir 0.010 0.500 0.536
Ir2 Ir 0.510 0.000 0.536
Os1 Os 0.233 0.500 0.149
Os2 Os 0.733 0.000 0.149
# **Total moment**: 0.00 μB/cell
# **DOS(E_F)**: 4.79 states/eV/cell

=====

Short version: arrangement three is the least stable of them.

=====

Arrangement one

# PBEsol As2IrOs, relaxed
data_As2IrOs
_space_group_name_H-M_alt 'P 1'
_space_group_IT_number 1
_cell_length_a 2.876
_cell_length_b 2.876
_cell_length_c 28.624
_cell_angle_alpha 90.00
_cell_angle_beta 90.00
_cell_angle_gamma 120.00
loop_
_space_group_symop_operation_xyz
'x,y,z'
loop_
_atom_site_label
_atom_site_type_symbol
_atom_site_fract_x
_atom_site_fract_y
_atom_site_fract_z
As1 As 0.000 0.000 0.000
As2 As 0.000 0.000 0.211
As3 As 0.333 0.667 0.667
As4 As 0.333 0.667 0.877
As5 As 0.667 0.333 0.333
As6 As 0.667 0.333 0.544
Ir1 Ir 0.000 0.000 0.734
Ir2 Ir 0.333 0.667 0.401
Ir3 Ir 0.667 0.333 0.068
Os1 Os 0.000 0.000 0.479
Os2 Os 0.333 0.667 0.146
Os3 Os 0.667 0.333 0.813
# **Total moment**: 0.00 μB/cell
# **DOS(E_F)**: 7.25 states/eV/cell

=====

Arrangement two

# PBEsol As2IrOs, relaxed
data_As2IrOs
_space_group_name_H-M_alt 'P 1'
_space_group_IT_number 1
_cell_length_a 2.891
_cell_length_b 2.891
_cell_length_c 7.891
_cell_angle_alpha 90.00
_cell_angle_beta 90.00
_cell_angle_gamma 90.00
loop_
_space_group_symop_operation_xyz
'x,y,z'
loop_
_atom_site_label
_atom_site_type_symbol
_atom_site_fract_x
_atom_site_fract_y
_atom_site_fract_z
As1 As 0.000 0.000 0.000
As2 As 0.500 0.500 0.365
Ir1 Ir 0.000 0.000 0.561
Os1 Os 0.500 0.500 0.810
# **Total moment**: 0.00 μB/cell
# **DOS(E_F)**: 2.75 states/eV/cell

=====

Short version: arrangement one is the least stable of them.

=====

Arrangement one

# PBEsol ReAs2Ir, relaxed
data_ReAs2Ir
_space_group_name_H-M_alt 'P 1'
_space_group_IT_number 1
_cell_length_a 2.863
_cell_length_b 2.863
_cell_length_c 28.989
_cell_angle_alpha 90.00
_cell_angle_beta 90.00
_cell_angle_gamma 120.00
loop_
_space_group_symop_operation_xyz
'x,y,z'
loop_
_atom_site_label
_atom_site_type_symbol
_atom_site_fract_x
_atom_site_fract_y
_atom_site_fract_z
Re1 Re 0.000 0.000 0.000
Re2 Re 0.333 0.667 0.667
Re3 Re 0.667 0.333 0.333
As1 As 0.000 0.000 0.522
As2 As 0.000 0.000 0.733
As3 As 0.333 0.667 0.189
As4 As 0.333 0.667 0.400
As5 As 0.667 0.333 0.067
As6 As 0.667 0.333 0.855
Ir1 Ir 0.000 0.000 0.258
Ir2 Ir 0.333 0.667 0.924
Ir3 Ir 0.667 0.333 0.591
# **Total moment**: 0.00 μB/cell
# **DOS(E_F)**: 9.38 states/eV/cell

=====

Arrangement two

# PBEsol ReAs2Ir, relaxed
data_ReAs2Ir
_space_group_name_H-M_alt 'P 1'
_space_group_IT_number 1
_cell_length_a 2.925
_cell_length_b 3.927
_cell_length_c 5.235
_cell_angle_alpha 90.00
_cell_angle_beta 90.00
_cell_angle_gamma 90.00
loop_
_space_group_symop_operation_xyz
'x,y,z'
loop_
_atom_site_label
_atom_site_type_symbol
_atom_site_fract_x
_atom_site_fract_y
_atom_site_fract_z
Re1 Re 0.000 0.000 0.000
As1 As 0.000 0.000 0.517
As2 As 0.500 0.500 0.165
Ir1 Ir 0.500 0.500 0.678
# **Total moment**: 0.00 μB/cell
# **DOS(E_F)**: 2.78 states/eV/cell

=====

Arrangement three

# PBEsol ReAs2Ir, relaxed
data_ReAs2Ir
_space_group_name_H-M_alt 'P 1'
_space_group_IT_number 1
_cell_length_a 2.925
_cell_length_b 5.055
_cell_length_c 8.342
_cell_angle_alpha 90.00
_cell_angle_beta 90.00
_cell_angle_gamma 90.00
loop_
_space_group_symop_operation_xyz
'x,y,z'
loop_
_atom_site_label
_atom_site_type_symbol
_atom_site_fract_x
_atom_site_fract_y
_atom_site_fract_z
Re1 Re 0.000 0.000 0.000
Re2 Re 0.500 0.500 0.500
As1 As 0.000 0.500 0.249
As2 As 0.000 0.500 0.751
As3 As 0.500 0.000 0.251
As4 As 0.500 0.000 0.749
Ir1 Ir 0.000 0.000 0.500
Ir2 Ir 0.500 0.500 0.000
# **Total moment**: 0.00 μB/cell
# **DOS(E_F)**: 6.33 states/eV/cell

=====

Short version: arrangement three is the least stable of them.

=====

Arrangement one

# PBEsol Sc2AsIr, relaxed
data_Sc2AsIr
_space_group_name_H-M_alt 'P 1'
_space_group_IT_number 1
_cell_length_a 3.546
_cell_length_b 3.990
_cell_length_c 9.872
_cell_angle_alpha 90.00
_cell_angle_beta 90.00
_cell_angle_gamma 90.00
loop_
_space_group_symop_operation_xyz
'x,y,z'
loop_
_atom_site_label
_atom_site_type_symbol
_atom_site_fract_x
_atom_site_fract_y
_atom_site_fract_z
Sc1 Sc 0.000 0.000 0.000
Sc2 Sc 0.000 0.500 0.232
Sc3 Sc 0.500 0.000 0.732
Sc4 Sc 0.500 0.500 0.500
As1 As 0.000 0.500 0.779
As2 As 0.500 0.000 0.279
Ir1 Ir 0.000 0.000 0.489
Ir2 Ir 0.500 0.500 0.989
# **Total moment**: 0.00 μB/cell
# **DOS(E_F)**: 3.62 states/eV/cell

=====

Arrangement two

# PBEsol Sc2AsIr, relaxed
data_Sc2AsIr
_space_group_name_H-M_alt 'P 1'
_space_group_IT_number 1
_cell_length_a 4.635
_cell_length_b 4.635
_cell_length_c 6.494
_cell_angle_alpha 90.00
_cell_angle_beta 90.00
_cell_angle_gamma 90.00
loop_
_space_group_symop_operation_xyz
'x,y,z'
loop_
_atom_site_label
_atom_site_type_symbol
_atom_site_fract_x
_atom_site_fract_y
_atom_site_fract_z
Sc1 Sc 0.000 0.500 0.250
Sc2 Sc 0.000 0.500 0.750
Sc3 Sc 0.500 0.000 0.250
Sc4 Sc 0.500 0.000 0.750
As1 As 0.000 0.000 0.000
As2 As 0.500 0.500 0.500
Ir1 Ir 0.000 0.000 0.500
Ir2 Ir 0.500 0.500 0.000
# **Total moment**: 0.00 μB/cell
# **DOS(E_F)**: 3.71 states/eV/cell

=====

Short version: arrangement two is the least stable of them.

=====

Arrangement one

# PBEsol As2IrW, relaxed
data_As2IrW
_space_group_name_H-M_alt 'P 1'
_space_group_IT_number 1
_cell_length_a 3.030
_cell_length_b 4.999
_cell_length_c 8.248
_cell_angle_alpha 90.00
_cell_angle_beta 90.00
_cell_angle_gamma 90.00
loop_
_space_group_symop_operation_xyz
'x,y,z'
loop_
_atom_site_label
_atom_site_type_symbol
_atom_site_fract_x
_atom_site_fract_y
_atom_site_fract_z
As1 As 0.000 0.000 0.243
As2 As 0.000 0.000 0.757
As3 As 0.500 0.500 0.257
As4 As 0.500 0.500 0.743
Ir1 Ir 0.000 0.500 0.500
Ir2 Ir 0.500 0.000 0.000
W1 W 0.000 0.500 0.000
W2 W 0.500 0.000 0.500
# **Total moment**: 0.00 μB/cell
# **DOS(E_F)**: 6.90 states/eV/cell

=====

Arrangement two

# PBEsol As2IrW, relaxed
data_As2IrW
_space_group_name_H-M_alt 'P 1'
_space_group_IT_number 1
_cell_length_a 2.971
_cell_length_b 2.971
_cell_length_c 23.865
_cell_angle_alpha 90.00
_cell_angle_beta 90.00
_cell_angle_gamma 120.00
loop_
_space_group_symop_operation_xyz
'x,y,z'
loop_
_atom_site_label
_atom_site_type_symbol
_atom_site_fract_x
_atom_site_fract_y
_atom_site_fract_z
As1 As 0.000 0.000 0.250
As2 As 0.000 0.000 0.750
As3 As 0.333 0.667 0.417
As4 As 0.333 0.667 0.917
As5 As 0.667 0.333 0.083
As6 As 0.667 0.333 0.583
Ir1 Ir 0.000 0.000 0.000
Ir2 Ir 0.333 0.667 0.667
Ir3 Ir 0.667 0.333 0.333
W1 W 0.000 0.000 0.500
W2 W 0.333 0.667 0.167
W3 W 0.667 0.333 0.833
# **Total moment**: 0.00 μB/cell
# **DOS(E_F)**: 11.03 states/eV/cell

=====

Short version: arrangement one is the least stable of them.

=====

Arrangement one

# PBEsol KLiAs2, relaxed
data_KLiAs2
_space_group_name_H-M_alt 'P 1'
_space_group_IT_number 1
_cell_length_a 8.931
_cell_length_b 3.623
_cell_length_c 6.215
_cell_angle_alpha 90.00
_cell_angle_beta 101.71
_cell_angle_gamma 90.00
loop_
_space_group_symop_operation_xyz
'x,y,z'
loop_
_atom_site_label
_atom_site_type_symbol
_atom_site_fract_x
_atom_site_fract_y
_atom_site_fract_z
K1 K 0.000 0.000 0.000
K2 K 0.500 0.500 0.000
Li1 Li 0.000 0.500 0.500
Li2 Li 0.500 0.000 0.500
As1 As 0.243 0.000 0.635
As2 As 0.257 0.500 0.365
As3 As 0.743 0.500 0.635
As4 As 0.757 0.000 0.365
# **Total moment**: 0.00 μB/cell
# **DOS(E_F)**: 1.42 states/eV/cell

=====

Arrangement two

# PBEsol KLiAs2, relaxed
data_KLiAs2
_space_group_name_H-M_alt 'P 1'
_space_group_IT_number 1
_cell_length_a 5.977
_cell_length_b 9.453
_cell_length_c 2.915
_cell_angle_alpha 90.00
_cell_angle_beta 90.00
_cell_angle_gamma 90.00
loop_
_space_group_symop_operation_xyz
'x,y,z'
loop_
_atom_site_label
_atom_site_type_symbol
_atom_site_fract_x
_atom_site_fract_y
_atom_site_fract_z
K1 K 0.000 0.000 0.000
K2 K 0.500 0.500 0.000
Li1 Li 0.000 0.500 0.000
Li2 Li 0.500 0.000 0.000
As1 As 0.250 0.250 0.500
As2 As 0.250 0.750 0.500
As3 As 0.750 0.250 0.500
As4 As 0.750 0.750 0.500
# **Total moment**: 0.00 μB/cell
# **DOS(E_F)**: 3.24 states/eV/cell

=====

Short version: arrangement two is the least stable of them.